(1)
A plane-wave DFT calculation with PBE was carried out for a relaxed structure of Rb3ReSb.

Lattice parameters (Å, degrees): 7.0269 7.0269 7.0269 90.00 90.00 90.00
Atoms (fractional coordinates):
Rb: 0.0000 0.0000 0.5000
Rb: 0.0000 0.5000 0.0000
Rb: 0.5000 0.0000 0.0000
Re: 0.5000 0.5000 0.5000
Sb: 0.0000 0.0000 0.0000

Output
Symmetry = Pm-3m, No. 221
Spin magnetization = 5.00 Bohr magnetons per cell
Uncorrected energy = -2.6572 eV/atom
Polymorph energy (0 for the lowest one) = 0.000 eV per atom


(2)
A plane-wave DFT calculation with PBE was carried out for a relaxed structure of Rb2ReSb.

Lattice parameters (Å, degrees): 9.9501 9.9501 9.9501 93.79 93.79 150.21
Atoms (fractional coordinates):
Rb: 0.3750 0.0967 0.2217
Rb: 0.8467 0.6250 0.7217
Rb: 0.8750 0.1533 0.7783
Rb: 0.9033 0.1250 0.2783
Re: 0.0000 0.0000 0.0000
Re: 0.7500 0.2500 0.5000
Sb: 0.2500 0.7500 0.5000
Sb: 0.5000 0.5000 0.0000

Output
Symmetry = I-42d, No. 122
Spin magnetization = 4.39 Bohr magnetons per cell
Uncorrected energy = -3.8047 eV/atom